# 1
VASP calculation (PBE) on TcIBr5 after structural relaxation. Values from VASP.

```
&SYSTEM
  ibrav = 0, nat = 14, ntyp = 3
/
ATOMIC_SPECIES
Tc 98.00 Tc.upf
I 126.90 I.upf
Br 79.90 Br.upf
ATOMIC_POSITIONS angstrom
Tc 0.0000 0.0000 0.0000
Tc 1.1237 6.0656 4.5923
I -1.0265 1.4651 7.1862
I 4.3370 2.9939 2.2254
Br -2.5525 4.4701 8.7747
Br -0.0050 5.2741 2.7024
Br 0.9723 0.7396 1.9978
Br 0.5449 -1.3428 5.6586
Br -0.3433 0.8285 9.8644
Br 1.4416 4.2518 6.0350
Br 3.1614 7.0828 4.0332
Br 4.6063 7.7637 0.4263
Br 3.5602 -1.2829 8.5177
Br 4.8696 2.2808 4.8804
CELL_PARAMETERS angstrom
7.3239 0.0000 0.0000
-0.7745 9.0079 0.0000
-3.2988 -3.1311 9.8777
```

Values from the calculation:
The value obtained for the total energy is -3.04 eV per atom. The volume is 326 Å³/f.u. The value obtained for the uncorrected formation energy is -0.138 eV per atom.

***

# 2
VASP calculation (PBE) on TcIBr3 after structural relaxation. Values from VASP.

```
&SYSTEM
  ibrav = 0, nat = 10, ntyp = 3
/
ATOMIC_SPECIES
Tc 98.00 Tc.upf
I 126.90 I.upf
Br 79.90 Br.upf
ATOMIC_POSITIONS angstrom
Tc 2.4286 7.2610 2.8380
Tc 4.0113 -7.2610 0.0000
I 6.1273 2.8832 0.0233
I 4.5446 -2.8832 2.8612
Br -1.3613 2.7095 5.6133
Br 0.2166 0.8777 2.5327
Br -1.3661 -0.8777 5.3706
Br 0.2214 -2.7095 2.7753
Br 4.6508 0.8453 3.1345
Br 6.2335 -0.8453 0.2966
CELL_PARAMETERS angstrom
4.0113 -8.3449 0.0000
4.0113 8.3449 0.0000
-3.1654 0.0000 5.6759
```

Values from the calculation:
The value obtained for the total energy is -3.68 eV per atom. The volume is 190 Å³/f.u. The energy relative to the lowest polymorph listed for this composition comes out at 0 meV per atom. The value obtained for the uncorrected formation energy is -0.288 eV per atom.

***

# 3
VASP calculation (PBE) on TcIBr2 after structural relaxation. Values from VASP.

```
&SYSTEM
  ibrav = 0, nat = 4, ntyp = 3
/
ATOMIC_SPECIES
Tc 98.00 Tc.upf
I 126.90 I.upf
Br 79.90 Br.upf
ATOMIC_POSITIONS angstrom
Tc 0.0000 0.0000 0.0000
I 0.0000 0.0000 19.8412
Br 0.0000 0.0000 2.3586
Br 0.0000 0.0000 37.3238
CELL_PARAMETERS angstrom
1.6177 0.9340 13.2275
-1.6177 0.9340 13.2275
0.0000 -1.8679 13.2275
```

Values from the calculation:
The value obtained for the total energy is -3.37 eV per atom. The volume is 120 Å³/f.u. The energy relative to the lowest polymorph listed for this composition comes out at 619 meV per atom. The value obtained for the uncorrected formation energy is 0.450 eV per atom.

***

# 4
VASP calculation (PBE) on TcI2Br2 after structural relaxation. Values from VASP.

```
&SYSTEM
  ibrav = 0, nat = 10, ntyp = 3
/
ATOMIC_SPECIES
Tc 98.00 Tc.upf
I 126.90 I.upf
Br 79.90 Br.upf
ATOMIC_POSITIONS angstrom
Tc 1.6187 0.0000 0.0000
Tc 5.8953 0.0000 0.0000
I 3.7570 0.0000 1.7963
I 0.0000 0.0000 2.1540
I 0.0000 0.0000 8.1637
I 0.0000 4.4091 3.3626
Br 1.7443 2.4822 0.0000
Br 2.0127 -1.9269 5.1588
Br 1.7443 6.3360 0.0000
Br 2.0127 1.9269 5.1588
CELL_PARAMETERS angstrom
-3.7570 4.4091 5.1588
3.7570 -4.4091 5.1588
3.7570 4.4091 -5.1588
```

Values from the calculation:
The value obtained for the total energy is -3.55 eV per atom. The volume is 171 Å³/f.u. The value obtained for the uncorrected formation energy is -0.189 eV per atom.

***

# 5
VASP calculation (PBE) on TcIBr2 after structural relaxation. Values from VASP.

```
&SYSTEM
  ibrav = 0, nat = 4, ntyp = 3
/
ATOMIC_SPECIES
Tc 98.00 Tc.upf
I 126.90 I.upf
Br 79.90 Br.upf
ATOMIC_POSITIONS angstrom
Tc 0.0000 0.0000 0.0000
I 3.7795 3.7795 3.7795
Br 1.8898 1.8898 1.8898
Br 5.6693 5.6693 5.6693
CELL_PARAMETERS angstrom
0.0000 3.7795 3.7795
3.7795 0.0000 3.7795
3.7795 3.7795 0.0000
```

Values from the calculation:
The value obtained for the total energy is -2.92 eV per atom. The volume is 108 Å³/f.u. The energy relative to the lowest polymorph listed for this composition comes out at 1065 meV per atom. The value obtained for the uncorrected formation energy is 0.896 eV per atom.

***

# 6
VASP calculation (PBE) on TcIBr3 after structural relaxation. Values from VASP.

```
&SYSTEM
  ibrav = 0, nat = 5, ntyp = 3
/
ATOMIC_SPECIES
Tc 98.00 Tc.upf
I 126.90 I.upf
Br 79.90 Br.upf
ATOMIC_POSITIONS angstrom
Tc 0.0000 0.0000 0.0000
I 2.6083 2.6083 2.6083
Br 0.0000 0.0000 2.6083
Br 0.0000 2.6083 0.0000
Br 2.6083 0.0000 0.0000
CELL_PARAMETERS angstrom
5.2166 0.0000 0.0000
0.0000 5.2166 0.0000
0.0000 0.0000 5.2166
```

Values from the calculation:
The value obtained for the total energy is -3.19 eV per atom. The volume is 142 Å³/f.u. The energy relative to the lowest polymorph listed for this composition comes out at 487 meV per atom. The value obtained for the uncorrected formation energy is 0.198 eV per atom.

***

# 7
VASP calculation (PBE) on Tc2IBr after structural relaxation. Values from VASP.

```
&SYSTEM
  ibrav = 0, nat = 8, ntyp = 3
/
ATOMIC_SPECIES
Tc 98.00 Tc.upf
I 126.90 I.upf
Br 79.90 Br.upf
ATOMIC_POSITIONS angstrom
Tc 4.2935 1.2555 -1.4776
Tc 1.2555 1.4312 1.4776
Tc -1.4312 1.6069 4.4327
Tc 1.6069 1.4312 7.3879
I 2.8624 0.0000 2.9552
I 0.0000 0.0000 5.9103
Br 0.0000 0.0000 0.0000
Br 0.0000 2.8624 2.9552
CELL_PARAMETERS angstrom
-2.8624 2.8624 5.9103
2.8624 -2.8624 5.9103
2.8624 2.8624 -5.9103
```

Values from the calculation:
The value obtained for the total energy is -4.84 eV per atom. The volume is 97 Å³/f.u. The energy relative to the lowest polymorph listed for this composition comes out at 57 meV per atom. The value obtained for the uncorrected formation energy is 1.152 eV per atom.

***

# 8
VASP calculation (PBE) on TcI2Br3 after structural relaxation. Values from VASP.

```
&SYSTEM
  ibrav = 0, nat = 6, ntyp = 3
/
ATOMIC_SPECIES
Tc 98.00 Tc.upf
I 126.90 I.upf
Br 79.90 Br.upf
ATOMIC_POSITIONS angstrom
Tc 0.0000 0.0000 0.0000
I 2.6031 -1.6498 5.1649
I 2.6031 1.6498 5.1649
Br 0.0000 1.7232 1.6705
Br 0.0000 4.9114 1.6705
Br 0.0000 3.3173 7.1710
CELL_PARAMETERS angstrom
-2.6031 3.3173 7.4611
2.6031 -3.3173 7.4611
2.6031 3.3173 -7.4611
```

Values from the calculation:
The value obtained for the total energy is -3.18 eV per atom. The volume is 258 Å³/f.u. The value obtained for the uncorrected formation energy is -0.099 eV per atom.